Entry 1:
SrTc3F | GGA-PBEsol | relaxed

abc: 5.062 5.062 5.062
angles: 90.00 90.00 90.00
Space group Pm-3m (No. 221)
Inequivalent atoms, fractional coordinates:
Sr 0.000 0.000 0.000 x1
Tc 0.000 0.000 0.500 x3
F 0.500 0.500 0.500 x1

The calculation puts the uncorrected formation energy at 3.16 eV per atom. The electronic total energy comes out at -21.76 eV for the cell shown. Its mass density is 5128 kg/m3.

Entry 2:
RbTiAg2O | GGA-PBEsol | relaxed

abc: 4.484 4.484 5.078
angles: 90.00 90.00 90.00
Space group P4/mmm (No. 123)
Inequivalent atoms, fractional coordinates:
Rb 0.000 0.000 0.000 x1
Ti 0.500 0.500 0.000 x1
Ag 0.000 0.500 0.500 x2
O 0.000 0.000 0.500 x1

The calculation puts the uncorrected formation energy at 0.60 eV per atom. The electronic total energy comes out at -18.21 eV for the cell shown. Its mass density is 5939 kg/m3.

Entry 3:
BaAs2Ru2 | GGA-PBEsol | relaxed

abc: 4.148 4.148 12.104
angles: 90.00 90.00 90.00
Space group I4/mmm (No. 139)
Inequivalent atoms, fractional coordinates:
Ba 0.000 0.000 0.000 x2
As 0.000 0.000 0.352 x4
Ru 0.000 0.500 0.250 x4

The formation energy from the elements comes out at -65.0 kJ/mol of atoms. The electronic total energy comes out at -72.15 eV for the cell shown. Its mass density is 7805 kg/m3.

Entry 4:
KCaPO2 | GGA-PBEsol | relaxed

abc: 4.536 4.536 5.182
angles: 90.00 90.00 90.00
Space group P4/mmm (No. 123)
Inequivalent atoms, fractional coordinates:
K 0.000 0.000 0.000 x1
Ca 0.500 0.500 0.500 x1
P 0.000 0.000 0.500 x1
O 0.000 0.500 0.000 x2

The calculation puts the uncorrected formation energy at 0.32 eV per atom. The electronic total energy comes out at -17.96 eV for the cell shown. Its mass density is 2213 kg/m3.